1.
TbSm7Tm12 | GGA-PBE | optimized geometry

Results
Symmetry: Im-3m
Energy of formation from the pure elements: 685 meV per atom
E above lowest polymorph: 449.2 meV per atom

a b c (Å): 9.662 9.662 9.662
angles (deg): 109.47 109.47 109.47
Sites, in units of the cell vectors:
Tb  0.000  0.000  0.000
Sm  0.000  0.000  0.500
Sm  0.000  0.500  0.000
Sm  0.000  0.500  0.500
Sm  0.500  0.000  0.000
Sm  0.500  0.000  0.500
Sm  0.500  0.500  0.000
Sm  0.500  0.500  0.500
Tm  0.000  0.248  0.752
Tm  0.000  0.752  0.248
Tm  0.248  0.000  0.752
Tm  0.248  0.248  0.496
Tm  0.248  0.496  0.248
Tm  0.248  0.752  0.000
Tm  0.496  0.248  0.248
Tm  0.504  0.752  0.752
Tm  0.752  0.000  0.248
Tm  0.752  0.248  0.000
Tm  0.752  0.504  0.752
Tm  0.752  0.752  0.504

***

2.
Tb12Sm3Tm | GGA-PBE | optimized geometry

Results
Symmetry: P4/mmm
Energy of formation from the pure elements: 17 meV per atom

a b c (Å): 5.046 5.046 20.175
angles (deg): 90.00 90.00 90.00
Sites, in units of the cell vectors:
Tb  0.000  0.000  0.000
Tb  0.000  0.000  0.249
Tb  0.000  0.000  0.500
Tb  0.000  0.000  0.751
Tb  0.000  0.500  0.123
Tb  0.000  0.500  0.374
Tb  0.000  0.500  0.626
Tb  0.000  0.500  0.877
Tb  0.500  0.000  0.123
Tb  0.500  0.000  0.374
Tb  0.500  0.000  0.626
Tb  0.500  0.000  0.877
Sm  0.500  0.500  0.249
Sm  0.500  0.500  0.500
Sm  0.500  0.500  0.751
Tm  0.500  0.500  0.000

***

3.
Tb2SmTm6 | GGA-PBE | optimized geometry

Results
Symmetry: P-6m2
Energy of formation from the pure elements: 54 meV per atom
E above lowest polymorph: 0.0 meV per atom

a b c (Å): 3.563 3.563 25.775
angles (deg): 90.00 90.00 120.00
Sites, in units of the cell vectors:
Tb  0.000  0.000  0.172
Tb  0.000  0.000  0.828
Sm  0.667  0.333  0.500
Tm  0.000  0.000  0.389
Tm  0.000  0.000  0.611
Tm  0.667  0.333  0.065
Tm  0.667  0.333  0.282
Tm  0.667  0.333  0.718
Tm  0.667  0.333  0.935

***

4.
Tb3Sm7Tm | GGA-PBE | optimized geometry

Results
Symmetry: C2/m
Energy of formation from the pure elements: 246 meV per atom
E above lowest polymorph: 120.6 meV per atom

a b c (Å): 8.504 8.504 5.871
angles (deg): 110.17 110.17 82.87
Sites, in units of the cell vectors:
Tb  0.000  0.000  0.000
Tb  0.206  0.794  0.500
Tb  0.794  0.206  0.500
Sm  0.015  0.598  0.807
Sm  0.210  0.210  0.708
Sm  0.402  0.985  0.193
Sm  0.500  0.500  0.500
Sm  0.598  0.015  0.807
Sm  0.790  0.790  0.292
Sm  0.985  0.402  0.193
Tm  0.500  0.500  0.000

***

5.
Tb3SmTm4 | GGA-PBE | optimized geometry

Results
Symmetry: Pmn2_1
Energy of formation from the pure elements: 9 meV per atom
E above lowest polymorph: 0.0 meV per atom

a b c (Å): 11.206 7.228 6.246
angles (deg): 90.00 90.00 90.00
Sites, in units of the cell vectors:
Tb  0.000  0.127  0.000
Tb  0.250  0.128  0.335
Tb  0.250  0.872  0.835
Tb  0.500  0.873  0.500
Tb  0.750  0.128  0.335
Tb  0.750  0.872  0.835
Sm  0.000  0.873  0.501
Sm  0.500  0.127  0.001
Tm  0.000  0.378  0.501
Tm  0.000  0.622  0.002
Tm  0.249  0.377  0.834
Tm  0.251  0.623  0.334
Tm  0.500  0.378  0.502
Tm  0.500  0.622  0.001
Tm  0.749  0.623  0.334
Tm  0.751  0.377  0.834

***

6.
Tb4SmTm7 | GGA-PBE | optimized geometry

Results
Symmetry: C2/m
Energy of formation from the pure elements: 283 meV per atom
E above lowest polymorph: 201.8 meV per atom

a b c (Å): 6.670 6.670 12.575
angles (deg): 115.09 115.09 51.53
Sites, in units of the cell vectors:
Tb  0.135  0.135  0.275
Tb  0.259  0.259  0.821
Tb  0.741  0.741  0.179
Tb  0.865  0.865  0.725
Sm  0.500  0.500  0.500
Tm  0.000  0.000  0.500
Tm  0.134  0.134  0.000
Tm  0.289  0.289  0.577
Tm  0.438  0.438  0.177
Tm  0.562  0.562  0.823
Tm  0.711  0.711  0.423
Tm  0.866  0.866  0.000

***

7.
Tb2Sm5Tm5 | GGA-PBE | optimized geometry

Results
Symmetry: C2/m
Energy of formation from the pure elements: 97 meV per atom
E above lowest polymorph: 76.2 meV per atom

a b c (Å): 6.515 6.515 12.290
angles (deg): 107.58 107.58 51.23
Sites, in units of the cell vectors:
Tb  0.082  0.082  0.204
Tb  0.918  0.918  0.796
Sm  0.000  0.000  0.500
Sm  0.194  0.194  0.972
Sm  0.253  0.253  0.722
Sm  0.747  0.747  0.278
Sm  0.806  0.806  0.028
Tm  0.310  0.310  0.471
Tm  0.430  0.430  0.256
Tm  0.500  0.500  0.000
Tm  0.570  0.570  0.744
Tm  0.690  0.690  0.529

***

8.
Tb4Sm5Tm | GGA-PBE | optimized geometry

Results
Symmetry: P-1
Energy of formation from the pure elements: 16 meV per atom
E above lowest polymorph: 0.0 meV per atom

a b c (Å): 3.583 9.480 10.153
angles (deg): 74.49 89.94 79.17
Sites, in units of the cell vectors:
Tb  0.099  0.300  0.297
Tb  0.301  0.899  0.900
Tb  0.699  0.101  0.100
Tb  0.901  0.700  0.703
Sm  0.099  0.301  0.803
Sm  0.300  0.900  0.400
Sm  0.500  0.500  0.500
Sm  0.700  0.100  0.600
Sm  0.901  0.699  0.197
Tm  0.500  0.500  0.000

***

9.
TbSm8Tm6 | GGA-PBE | optimized geometry

Results
Symmetry: P-3
Energy of formation from the pure elements: 184 meV per atom

a b c (Å): 9.370 9.370 6.454
angles (deg): 90.00 90.00 120.00
Sites, in units of the cell vectors:
Tb  0.000  0.000  0.000
Sm  0.038  0.285  0.330
Sm  0.247  0.962  0.330
Sm  0.285  0.247  0.670
Sm  0.333  0.667  0.373
Sm  0.667  0.333  0.627
Sm  0.715  0.753  0.330
Sm  0.753  0.038  0.670
Sm  0.962  0.715  0.670
Tm  0.096  0.442  0.837
Tm  0.346  0.904  0.837
Tm  0.442  0.346  0.163
Tm  0.558  0.654  0.837
Tm  0.654  0.096  0.163
Tm  0.904  0.558  0.163

***

10.
TbSm4Tm2 | GGA-PBE | optimized geometry

Results
Symmetry: P2_1/m
Energy of formation from the pure elements: 131 meV per atom
E above lowest polymorph: 76.0 meV per atom

a b c (Å): 6.203 6.571 11.560
angles (deg): 90.00 105.26 90.00
Sites, in units of the cell vectors:
Tb  0.156  0.250  0.163
Tb  0.844  0.750  0.837
Sm  0.035  0.250  0.862
Sm  0.148  0.250  0.449
Sm  0.351  0.507  0.714
Sm  0.351  0.993  0.714
Sm  0.649  0.007  0.286
Sm  0.649  0.493  0.286
Sm  0.852  0.750  0.551
Sm  0.965  0.750  0.138
Tm  0.291  0.750  0.426
Tm  0.392  0.750  0.003
Tm  0.608  0.250  0.997
Tm  0.709  0.250  0.574